A geometry-optimized MgBe2Rh2 structure, computed with GGA-PBE.

Properties
DFT total energy = -5.37 eV per atom
D(E_F) = 0.118 states/eV per atom
Formation energy from the elements = -3.103 eV/f.u.

a = 6.354 Å, b = 6.354 Å, c = 2.940 Å
α = 90.00°, β = 90.00°, γ = 90.00°
Space group P4/mbm (No. 127)
Unique sites:
Mg (0.000, 0.000, 0.000) [2 per cell]
Be (0.122, 0.378, 0.000) [4 per cell]
Rh (0.166, 0.666, 0.500) [4 per cell]